Entry 1:
# Tb4PmTl4, optimized geometry, DFT PBE-GGA
data_Tb4PmTl4
_chemical_formula_sum 'Tb8 Pm2 Tl8'
_cell_length_a 9.4434
_cell_length_b 9.4434
_cell_length_c 5.9745
_cell_angle_alpha 90.00
_cell_angle_beta 90.00
_cell_angle_gamma 90.00
_symmetry_space_group_name_H-M 'P 42/n'
_symmetry_Int_Tables_number 86
loop_
_symmetry_equiv_pos_as_xyz
'x,y,z'
'-x,-y,-z'
'-y,x+1/2,z+1/2'
'y,-x+1/2,-z+1/2'
'-x+1/2,-y+1/2,z'
'x+1/2,y+1/2,-z'
'y+1/2,-x,z+1/2'
'-y+1/2,x,-z+1/2'
loop_
_atom_site_label
_atom_site_type_symbol
_atom_site_fract_x
_atom_site_fract_y
_atom_site_fract_z
_atom_site_occupancy
Tb1 Tb 0.0905 0.8276 0.1349 1
Pm1 Pm 0.2500 0.2500 0.7500 1
Tl1 Tl 0.0384 0.1456 0.3551 1
# * magnetization: 0.0 μB per formula unit
# * energy relative to the elements: -169.7 meV/atom

***

Entry 2:
# TbPm7Tl5, optimized geometry, DFT PBE-GGA
data_TbPm7Tl5
_chemical_formula_sum 'Tb2 Pm14 Tl10'
_cell_length_a 6.7529
_cell_length_b 10.8418
_cell_length_c 11.1351
_cell_angle_alpha 90.00
_cell_angle_beta 90.00
_cell_angle_gamma 90.00
_symmetry_space_group_name_H-M 'I m m 2'
_symmetry_Int_Tables_number 44
loop_
_symmetry_equiv_pos_as_xyz
'x,y,z'
'-x,-y,z'
'-x,y,z'
'x,-y,z'
'x+1/2,y+1/2,z+1/2'
'-x+1/2,-y+1/2,z+1/2'
'-x+1/2,y+1/2,z+1/2'
'x+1/2,-y+1/2,z+1/2'
loop_
_atom_site_label
_atom_site_type_symbol
_atom_site_fract_x
_atom_site_fract_y
_atom_site_fract_z
_atom_site_occupancy
Tb1 Tb 0.0000 0.0000 0.0000 1
Pm1 Pm 0.0000 0.0000 0.3304 1
Pm2 Pm 0.0000 0.0000 0.6617 1
Pm3 Pm 0.0000 0.3124 0.4429 1
Pm4 Pm 0.0000 0.3350 0.9586 1
Pm5 Pm 0.0000 0.5000 0.6840 1
Tl1 Tl 0.0000 0.5000 0.2137 1
Tl2 Tl 0.2442 0.2392 0.1990 1
# * magnetization: 0.0 μB per formula unit
# * energy relative to the elements: -176.3 meV/atom

***

Entry 3:
# TbPmTl, optimized geometry, DFT PBE-GGA
data_TbPmTl
_chemical_formula_sum 'Tb4 Pm4 Tl4'
_cell_length_a 3.4069
_cell_length_b 17.8184
_cell_length_c 6.0328
_cell_angle_alpha 90.00
_cell_angle_beta 90.00
_cell_angle_gamma 90.00
_symmetry_space_group_name_H-M 'C m c m'
_symmetry_Int_Tables_number 63
_symmetry_space_group_name_Hall '-C 2c 2'
loop_
_atom_site_label
_atom_site_type_symbol
_atom_site_fract_x
_atom_site_fract_y
_atom_site_fract_z
_atom_site_occupancy
Tb1 Tb 0.0000 0.0000 0.0000 1
Pm1 Pm 0.0000 0.1827 0.2500 1
Tl1 Tl 0.0000 0.3628 0.2500 1
# * magnetization: 0.0 μB per formula unit
# * energy relative to the elements: -66.4 meV/atom
# * offset from the most stable computed form: 199.2 meV/atom

***

Repeat the second record exactly.
# TbPm7Tl5, optimized geometry, DFT PBE-GGA
data_TbPm7Tl5
_chemical_formula_sum 'Tb2 Pm14 Tl10'
_cell_length_a 6.7529
_cell_length_b 10.8418
_cell_length_c 11.1351
_cell_angle_alpha 90.00
_cell_angle_beta 90.00
_cell_angle_gamma 90.00
_symmetry_space_group_name_H-M 'I m m 2'
_symmetry_Int_Tables_number 44
loop_
_symmetry_equiv_pos_as_xyz
'x,y,z'
'-x,-y,z'
'-x,y,z'
'x,-y,z'
'x+1/2,y+1/2,z+1/2'
'-x+1/2,-y+1/2,z+1/2'
'-x+1/2,y+1/2,z+1/2'
'x+1/2,-y+1/2,z+1/2'
loop_
_atom_site_label
_atom_site_type_symbol
_atom_site_fract_x
_atom_site_fract_y
_atom_site_fract_z
_atom_site_occupancy
Tb1 Tb 0.0000 0.0000 0.0000 1
Pm1 Pm 0.0000 0.0000 0.3304 1
Pm2 Pm 0.0000 0.0000 0.6617 1
Pm3 Pm 0.0000 0.3124 0.4429 1
Pm4 Pm 0.0000 0.3350 0.9586 1
Pm5 Pm 0.0000 0.5000 0.6840 1
Tl1 Tl 0.0000 0.5000 0.2137 1
Tl2 Tl 0.2442 0.2392 0.1990 1
# * magnetization: 0.0 μB per formula unit
# * energy relative to the elements: -176.3 meV/atom